Entry from Alexandria: a relaxed Pa2SO8 crystal (PBE).

Properties
The calculation puts the formation energy without anion corrections at -2.649 eV per atom. The density of states at the Fermi level is 0.000 states/eV per atom.

Unit cell a=7.289 b=7.081 c=10.284 alpha=139.09 beta=138.63 gamma=71.85
Fractional positions:
O 0.971 0.881 0.706
O 0.456 0.127 0.238
O 0.833 0.702 0.248
S 0.164 0.137 0.050
O 0.495 0.044 0.907
Pa 0.445 0.074 0.721
O 0.294 0.501 0.262
O 0.200 0.416 0.874
O 0.936 0.045 0.994
O 0.526 0.122 0.581
Pa 0.681 0.950 0.419